Record 1
VASP calculation (PBE) on a geometry-optimized Ca2Si2Ir structure.

Lattice parameters (Å, degrees): 6.5079 6.5079 4.6284 90.00 90.00 90.00
With the nearest neighbours (Å) after each atom.
Positions (direct):
Ca  0.1785  0.3215  0.0000  6 Si 2.89-3.09
Ca  0.3215  0.8215  0.0000  6 Si 2.89-3.09
Ca  0.6785  0.1785  0.0000  6 Si 2.89-3.09
Ca  0.8215  0.6785  0.0000  6 Si 2.89-3.09
Si  0.1335  0.6335  0.5000  1 Si 2.46, 2 Ir 2.54
Si  0.3665  0.1335  0.5000  1 Si 2.46, 2 Ir 2.54
Si  0.6335  0.8665  0.5000  1 Si 2.46, 2 Ir 2.54
Si  0.8665  0.3665  0.5000  1 Si 2.46, 2 Ir 2.54
Ir  0.0000  0.0000  0.5000  4 Si 2.54
Ir  0.5000  0.5000  0.5000  4 Si 2.54

Formation energy from raw total energies (eV/atom): -0.64

***

Record 2
VASP calculation (PBE) on a geometry-optimized CaSi2Ir2 structure.

Lattice parameters (Å, degrees): 8.1450 7.0513 5.7812 78.11 57.90 43.99
With the nearest neighbours (Å) after each atom.
Positions (direct):
Ca  0.1250  0.1250  0.1250  6 Si 3.13-3.45, 8 Ir 3.27-3.36
Ca  0.8750  0.8750  0.8750  6 Si 3.13-3.45, 8 Ir 3.27-3.36
Si  0.1883  0.5617  0.1883  4 Ir 2.33-2.40
Si  0.4383  0.8117  0.4383  4 Ir 2.33-2.40
Si  0.5617  0.1883  0.5617  4 Ir 2.33-2.40
Si  0.8117  0.4383  0.8117  4 Ir 2.33-2.40
Ir  0.2581  0.2581  0.4919  4 Si 2.33-2.40
Ir  0.4919  0.4919  0.2581  4 Si 2.33-2.40
Ir  0.5081  0.5081  0.7419  4 Si 2.33-2.40
Ir  0.7419  0.7419  0.5081  4 Si 2.33-2.40

Formation energy from raw total energies (eV/atom): -0.88

***

Record 3
VASP calculation (PBE) on a geometry-optimized CaSiIr2 structure.

Lattice parameters (Å, degrees): 5.2796 5.2796 2.8607 104.97 104.97 112.88
With the nearest neighbours (Å) after each atom.
Positions (direct):
Ca  0.0000  0.0000  0.0000  4 Ir 2.66, 2 Ca 2.86, 2 Si 2.92
Si  0.5000  0.5000  0.0000  4 Ir 2.66, 2 Si 2.86, 2 Ca 2.92
Ir  0.0000  0.5000  0.5000  2 Ca 2.66, 2 Si 2.66, 4 Ir 2.86-2.92
Ir  0.5000  0.0000  0.5000  2 Ca 2.66, 2 Si 2.66, 4 Ir 2.86-2.92

Formation energy from raw total energies (eV/atom): 0.00

***

Record 4
VASP calculation (PBE) on a geometry-optimized Ca4SiIr structure.

Lattice parameters (Å, degrees): 5.9247 5.9247 5.9247 60.00 60.00 60.00
With the nearest neighbours (Å) after each atom.
Positions (direct):
Ca  0.1243  0.1243  0.1243  6 Ca 2.94-2.98
Ca  0.1243  0.1243  0.6272  6 Ca 2.94-2.98
Ca  0.1243  0.6272  0.1243  6 Ca 2.94-2.98
Ca  0.6272  0.1243  0.1243  6 Ca 2.94-2.98
Si  0.5000  0.5000  0.5000  12 Ca 3.48, 4 Ir 3.63
Ir  0.7500  0.7500  0.7500  12 Ca 3.47, 4 Si 3.63

Formation energy from raw total energies (eV/atom): 0.72

***

Record 5
VASP calculation (PBE) on a geometry-optimized CaSi2Ir2 structure.

Lattice parameters (Å, degrees): 7.4477 7.4477 2.8051 90.00 90.00 90.00
With the nearest neighbours (Å) after each atom.
Positions (direct):
Ca  0.0000  0.0000  0.0000  2 Ca 2.81, 4 Si 2.86
Ca  0.5000  0.5000  0.0000  2 Ca 2.81, 4 Si 2.86
Si  0.1438  0.3562  0.0000  6 Ir 2.57-2.63, 2 Si 2.81, 2 Ca 2.86
Si  0.3562  0.8562  0.0000  6 Ir 2.57-2.63, 2 Si 2.81, 2 Ca 2.86
Si  0.6438  0.1438  0.0000  6 Ir 2.57-2.63, 2 Si 2.81, 2 Ca 2.86
Si  0.8562  0.6438  0.0000  6 Ir 2.57-2.63, 2 Si 2.81, 2 Ca 2.86
Ir  0.1450  0.6450  0.5000  6 Si 2.57-2.63, 2 Ir 2.81
Ir  0.3550  0.1450  0.5000  6 Si 2.57-2.63, 2 Ir 2.81
Ir  0.6450  0.8550  0.5000  6 Si 2.57-2.63, 2 Ir 2.81
Ir  0.8550  0.3550  0.5000  6 Si 2.57-2.63, 2 Ir 2.81

Formation energy from raw total energies (eV/atom): -0.50

***

Record 6
VASP calculation (PBE) on a geometry-optimized Ca3SiIr structure.

Lattice parameters (Å, degrees): 5.3727 5.3727 5.3727 90.00 90.00 90.00
With the nearest neighbours (Å) after each atom.
Positions (direct):
Ca  0.0000  0.0000  0.5000  2 Ir 2.69
Ca  0.0000  0.5000  0.0000  2 Ir 2.69
Ca  0.5000  0.0000  0.0000  2 Ir 2.69
Si  0.5000  0.5000  0.5000  12 Ca 3.80
Ir  0.0000  0.0000  0.0000  6 Ca 2.69

Formation energy from raw total energies (eV/atom): 0.04
Excess energy over the best structure of this formula in the dataset (kJ/mol of formula units): 0

***

Record 7
VASP calculation (PBE) on a geometry-optimized Ca2Si2SnIr5 structure.

Lattice parameters (Å, degrees): 9.8778 9.8778 3.4788 90.00 90.00 90.00
With the nearest neighbours (Å) after each atom.
Positions (direct):
Ca  0.1751  0.3249  0.0000  3 Si 2.82-2.99, 6 Ir 3.00-3.09
Ca  0.3249  0.8249  0.0000  3 Si 2.82-2.99, 6 Ir 3.00-3.09
Ca  0.6751  0.1751  0.0000  3 Si 2.82-2.99, 6 Ir 3.00-3.09
Ca  0.8249  0.6751  0.0000  3 Si 2.82-2.99, 6 Ir 3.00-3.09
Si  0.1230  0.6230  0.0000  6 Ir 2.42-2.44
Si  0.3770  0.1230  0.0000  6 Ir 2.42-2.44
Si  0.6230  0.8770  0.0000  6 Ir 2.42-2.44
Si  0.8770  0.3770  0.0000  6 Ir 2.42-2.44
Sn  0.0000  0.0000  0.0000  8 Ir 2.83
Sn  0.5000  0.5000  0.0000  8 Ir 2.83
Ir  0.0000  0.5000  0.5000  4 Si 2.44
Ir  0.0691  0.7843  0.5000  2 Si 2.42
Ir  0.2157  0.0691  0.5000  2 Si 2.42
Ir  0.2843  0.5691  0.5000  2 Si 2.42
Ir  0.4309  0.2843  0.5000  2 Si 2.42
Ir  0.5000  0.0000  0.5000  4 Si 2.44
Ir  0.5691  0.7157  0.5000  2 Si 2.42
Ir  0.7157  0.4309  0.5000  2 Si 2.42
Ir  0.7843  0.9309  0.5000  2 Si 2.42
Ir  0.9309  0.2157  0.5000  2 Si 2.42

Formation energy from raw total energies (eV/atom): -0.62

***

Record 8
VASP calculation (PBE) on a geometry-optimized Ca2TiSi3Ir4 structure.

Lattice parameters (Å, degrees): 4.0933 4.0933 10.4448 90.00 90.00 90.00
With the nearest neighbours (Å) after each atom.
Positions (direct):
Ca  0.0000  0.5000  0.2412  6 Si 3.14-3.39, 8 Ir 3.15-3.25, 2 Ti 3.39
Ca  0.5000  0.0000  0.7588  6 Si 3.14-3.39, 8 Ir 3.15-3.25, 2 Ti 3.39
Ti  0.0000  0.0000  0.5000  4 Ir 2.52
Si  0.0000  0.5000  0.8765  5 Ir 2.42-2.47
Si  0.5000  0.0000  0.1235  5 Ir 2.42-2.47
Si  0.5000  0.5000  0.5000  4 Ir 2.52
Ir  0.0000  0.0000  0.0000  4 Si 2.42
Ir  0.0000  0.5000  0.6401  3 Si 2.47-2.52, 2 Ti 2.52
Ir  0.5000  0.0000  0.3599  3 Si 2.47-2.52, 2 Ti 2.52
Ir  0.5000  0.5000  0.0000  4 Si 2.42

Formation energy from raw total energies (eV/atom): -0.89

***

Record 9
VASP calculation (PBE) on a geometry-optimized Ca2ZnSi4Ir3 structure.

Lattice parameters (Å, degrees): 4.1223 4.1223 10.1742 90.00 90.00 90.00
With the nearest neighbours (Å) after each atom.
Positions (direct):
Ca  0.0000  0.5000  0.2463  8 Si 3.15-3.24, 6 Ir 3.16-3.30, 2 Zn 3.30
Ca  0.5000  0.0000  0.7537  8 Si 3.15-3.24, 6 Ir 3.16-3.30, 2 Zn 3.30
Zn  0.0000  0.0000  0.5000  4 Si 2.49
Si  0.0000  0.0000  0.0000  4 Ir 2.42
Si  0.0000  0.5000  0.6372  3 Ir 2.42-2.49, 2 Zn 2.49
Si  0.5000  0.0000  0.3628  3 Ir 2.42-2.49, 2 Zn 2.49
Si  0.5000  0.5000  0.0000  4 Ir 2.42
Ir  0.0000  0.5000  0.8748  5 Si 2.42
Ir  0.5000  0.0000  0.1252  5 Si 2.42
Ir  0.5000  0.5000  0.5000  4 Si 2.49

Formation energy from raw total energies (eV/atom): -0.70

***

Record 10
VASP calculation (PBE) on a geometry-optimized Ca2ZnSi3Ir4 structure.

Lattice parameters (Å, degrees): 4.1501 4.1501 10.0277 90.00 90.00 90.00
With the nearest neighbours (Å) after each atom.
Positions (direct):
Ca  0.0000  0.5000  0.2490  8 Ir 3.14-3.26, 6 Si 3.20-3.25, 2 Zn 3.25
Ca  0.5000  0.0000  0.7510  8 Ir 3.14-3.26, 6 Si 3.20-3.25, 2 Zn 3.25
Zn  0.5000  0.5000  0.0000  4 Ir 2.49
Si  0.0000  0.0000  0.0000  4 Ir 2.49
Si  0.0000  0.5000  0.6248  5 Ir 2.39-2.42
Si  0.5000  0.0000  0.3752  5 Ir 2.39-2.42
Ir  0.0000  0.0000  0.5000  4 Si 2.42
Ir  0.0000  0.5000  0.8628  3 Si 2.39-2.49, 2 Zn 2.49
Ir  0.5000  0.0000  0.1372  3 Si 2.39-2.49, 2 Zn 2.49
Ir  0.5000  0.5000  0.5000  4 Si 2.42

Formation energy from raw total energies (eV/atom): -0.80

***

Record 11
VASP calculation (PBE) on a geometry-optimized Ca2ZnSi2Ir5 structure.

Lattice parameters (Å, degrees): 10.0681 10.0681 3.1909 90.00 90.00 90.00
With the nearest neighbours (Å) after each atom.
Positions (direct):
Ca  0.1740  0.3260  0.0000  3 Si 2.81-3.08, 10 Ir 2.95-3.12
Ca  0.3260  0.8260  0.0000  3 Si 2.81-3.08, 10 Ir 2.95-3.12
Ca  0.6740  0.1740  0.0000  3 Si 2.81-3.08, 10 Ir 2.95-3.12
Ca  0.8260  0.6740  0.0000  3 Si 2.81-3.08, 10 Ir 2.95-3.12
Zn  0.0000  0.0000  0.0000  8 Ir 2.70
Zn  0.5000  0.5000  0.0000  8 Ir 2.70
Si  0.1286  0.6286  0.0000  6 Ir 2.39-2.43
Si  0.3714  0.1286  0.0000  6 Ir 2.39-2.43
Si  0.6286  0.8714  0.0000  6 Ir 2.39-2.43
Si  0.8714  0.3714  0.0000  6 Ir 2.39-2.43
Ir  0.0000  0.5000  0.5000  4 Si 2.43
Ir  0.0646  0.7934  0.5000  2 Si 2.39
Ir  0.2066  0.0646  0.5000  2 Si 2.39
Ir  0.2934  0.5646  0.5000  2 Si 2.39
Ir  0.4354  0.2934  0.5000  2 Si 2.39
Ir  0.5000  0.0000  0.5000  4 Si 2.43
Ir  0.5646  0.7066  0.5000  2 Si 2.39
Ir  0.7066  0.4354  0.5000  2 Si 2.39
Ir  0.7934  0.9354  0.5000  2 Si 2.39
Ir  0.9354  0.2066  0.5000  2 Si 2.39

Formation energy from raw total energies (eV/atom): -0.56

***

Record 12
VASP calculation (PBE) on a geometry-optimized CaSm2Ir9 structure.

Lattice parameters (Å, degrees): 9.3278 9.3278 9.3278 33.36 33.36 33.36
With the nearest neighbours (Å) after each atom.
Positions (direct):
Ca  0.0000  0.0000  0.0000  18 Ir 3.09-3.43
Sm  0.1382  0.1382  0.1382  12 Ir 3.07-3.39, 3 Sm 3.44
Sm  0.8618  0.8618  0.8618  12 Ir 3.07-3.39, 3 Sm 3.44
Ir  0.0839  0.5798  0.5798  7 Ir 2.62-2.73
Ir  0.3321  0.3321  0.3321  6 Ir 2.62-2.66
Ir  0.4202  0.4202  0.9161  7 Ir 2.62-2.73
Ir  0.4202  0.9161  0.4202  7 Ir 2.62-2.73
Ir  0.5000  0.5000  0.5000  6 Ir 2.73
Ir  0.5798  0.0839  0.5798  7 Ir 2.62-2.73
Ir  0.5798  0.5798  0.0839  7 Ir 2.62-2.73
Ir  0.6679  0.6679  0.6679  6 Ir 2.62-2.66
Ir  0.9161  0.4202  0.4202  7 Ir 2.62-2.73

***

| no. | calculated total energy (eV per atom) |
| --- | --- |
| 1 | -5.38 |
| 2 | -6.99 |
| 3 | -6.28 |
| 4 | -3.00 |
| 5 | -6.61 |
| 6 | -4.01 |
| 7 | -6.94 |
| 8 | -7.25 |
| 9 | -6.06 |
| 10 | -6.49 |
| 11 | -6.60 |
| 12 | -8.05 |